No. 1
## Sr2CeTl3S6 (GGA-PBE)

Data for an optimized crystal structure of Sr2CeTl3S6.

a b c (Å): 7.4138 12.8402 7.5727
angles (deg): 90.00 109.14 90.00
Last column: nearest neighbours and their distance in Å.
Space group C2/m (No. 12)
Asymmetric unit:
Sr 0.0000 0.1660 0.0000 x4  6 S 2.99-3.01
Ce 0.0000 0.5000 0.0000 x2  6 S 2.74-2.77
Tl 0.0000 0.0000 0.5000 x2  6 S 3.13-3.34
Tl 0.0000 0.3339 0.5000 x4  6 S 3.10-3.36
S 0.2254 0.3467 0.2140 x8  1 Ce 2.74, 2 Sr 2.99-3.00
S 0.2336 0.5000 0.7799 x4  1 Ce 2.77, 2 Sr 3.01

***

No. 2
## Sr2CeTmS4 (GGA-PBE)

Data for an optimized crystal structure of Sr2CeTmS4.

a b c (Å): 7.0563 4.0615 7.1927
angles (deg): 90.00 108.94 90.00
Last column: nearest neighbours and their distance in Å.
Space group P2/m (No. 10)
Asymmetric unit:
Sr 0.0000 0.0000 0.0000 x1  6 S 3.02
Sr 0.5000 0.5000 0.0000 x1  6 S 2.94
Ce 0.0000 0.5000 0.5000 x1  6 S 2.87
Tm 0.5000 0.0000 0.5000 x1  6 S 2.78-2.79
S 0.2547 0.0000 0.7343 x2  1 Tm 2.78, 2 Ce 2.87, 3 Sr 2.94-3.02
S 0.2664 0.5000 0.2723 x2  2 Tm 2.79, 1 Ce 2.87, 3 Sr 2.94-3.02

***

No. 3
## SrCeTm4S8 (GGA-PBE)

Data for an optimized crystal structure of SrCeTm4S8.

a b c (Å): 8.0788 8.0788 20.2140
angles (deg): 90.00 90.00 120.00
Last column: nearest neighbours and their distance in Å.
Space group R3m (No. 160, hexagonal axes)
Asymmetric unit:
Sr 0.0000 0.0000 0.0000 x3  4 S 2.78-2.80
Ce 0.0000 0.0000 0.6270 x3  6 S 2.80-2.91
Tm 0.0000 0.0000 0.2516 x3  4 S 2.60-2.67
Tm 0.1686 0.3373 0.4592 x9  6 S 2.66-2.81
S 0.0000 0.0000 0.3836 x3  4 Tm 2.67-2.81
S 0.0000 0.0000 0.8614 x3  3 Tm 2.69, 1 Sr 2.80
S 0.0337 0.5168 0.3855 x9  2 Tm 2.66, 1 Sr 2.78, 1 Ce 2.80
S 0.1721 0.3443 0.2031 x9  3 Tm 2.60-2.79, 1 Ce 2.91

***

It is found that the final energy values, taken in the order of the records, are -112.51 -46.28 -257.68 eV for the cell shown.
It is found that the E_form (uncorrected) values, taken in the order of the records, are -121.4 -193.0 -188.6 kJ/mol of atoms.
It is found that the Fermi-level density of states values, taken in the order of the records, are 7.74 7.89 9.96 states/eV/f.u..